! Be3FePb | Alexandria | SCAN | PBEsol geometry; values from VASP
! Energy: -20.65 eV/atom
! DFT formation energy: 361 kJ/mol of formula units
! Symmetry: Pm-3m (221)
! V: 13.87 Å³/atom
! Total moment: 0.000 μB/f.u.
&SYSTEM
  ibrav = 0, nat = 5, ntyp = 3
/
ATOMIC_SPECIES
Be 9.01 Be.upf
Fe 55.84 Fe.upf
Pb 207.20 Pb.upf
CELL_PARAMETERS angstrom
4.108 0.000 0.000
0.000 4.108 0.000
0.000 0.000 4.108
ATOMIC_POSITIONS crystal
Be 0.000 0.000 0.500
Be 0.000 0.500 0.000
Be 0.500 0.000 0.000
Fe 0.000 0.000 0.000
Pb 0.500 0.500 0.500

! Be2FePb | Alexandria | SCAN | PBEsol geometry; values from VASP
! Energy: -25.19 eV/atom
! DFT formation energy: 180 kJ/mol of formula units
! Symmetry: C2/m (12)
! V: 13.32 Å³/atom
! Total moment: 1.611 μB/f.u.
&SYSTEM
  ibrav = 0, nat = 4, ntyp = 3
/
ATOMIC_SPECIES
Be 9.01 Be.upf
Fe 55.84 Fe.upf
Pb 207.20 Pb.upf
CELL_PARAMETERS angstrom
3.942 -1.624 0.000
3.942 1.624 0.000
-1.076 0.000 4.162
ATOMIC_POSITIONS crystal
Be 0.216 0.216 0.113
Be 0.784 0.784 0.887
Fe 0.500 0.500 0.000
Pb 0.000 0.000 0.500

! Be2FePb | Alexandria | SCAN | PBEsol geometry; values from VASP
! Energy: -25.17 eV/atom
! DFT formation energy: 187 kJ/mol of formula units
! Symmetry: P4/mmm (123)
! V: 12.74 Å³/atom
! Total moment: 1.690 μB/f.u.
&SYSTEM
  ibrav = 0, nat = 4, ntyp = 3
/
ATOMIC_SPECIES
Be 9.01 Be.upf
Fe 55.84 Fe.upf
Pb 207.20 Pb.upf
CELL_PARAMETERS angstrom
3.798 0.000 0.000
0.000 3.798 0.000
0.000 0.000 3.533
ATOMIC_POSITIONS crystal
Be 0.000 0.500 0.000
Be 0.500 0.000 0.000
Fe 0.000 0.000 0.500
Pb 0.500 0.500 0.500

! BeFe3Pd | Alexandria | SCAN | PBEsol geometry; values from VASP
! Energy: -17.88 eV/atom
! DFT formation energy: 204 kJ/mol of formula units
! Symmetry: Pm-3m (221)
! V: 11.79 Å³/atom
! Total moment: 8.227 μB/f.u.
&SYSTEM
  ibrav = 0, nat = 5, ntyp = 3
/
ATOMIC_SPECIES
Be 9.01 Be.upf
Fe 55.84 Fe.upf
Pd 106.42 Pd.upf
CELL_PARAMETERS angstrom
3.892 0.000 0.000
0.000 3.892 0.000
0.000 0.000 3.892
ATOMIC_POSITIONS crystal
Be 0.000 0.000 0.000
Fe 0.000 0.000 0.500
Fe 0.000 0.500 0.000
Fe 0.500 0.000 0.000
Pd 0.500 0.500 0.500

! Be3FePd | Alexandria | SCAN | PBEsol geometry; values from VASP
! Energy: -12.18 eV/atom
! DFT formation energy: 298 kJ/mol of formula units
! Symmetry: Pm-3m (221)
! V: 11.20 Å³/atom
! Total moment: 0.000 μB/f.u.
&SYSTEM
  ibrav = 0, nat = 5, ntyp = 3
/
ATOMIC_SPECIES
Be 9.01 Be.upf
Fe 55.84 Fe.upf
Pd 106.42 Pd.upf
CELL_PARAMETERS angstrom
3.826 0.000 0.000
0.000 3.826 0.000
0.000 0.000 3.826
ATOMIC_POSITIONS crystal
Be 0.000 0.000 0.500
Be 0.000 0.500 0.000
Be 0.500 0.000 0.000
Fe 0.000 0.000 0.000
Pd 0.500 0.500 0.500

! BeFePt2 | Alexandria | SCAN | PBEsol geometry; values from VASP
! Energy: -41.15 eV/atom
! DFT formation energy: -168 kJ/mol of formula units
! Symmetry: R-3m (166)
! V: 12.70 Å³/atom
! Total moment: 3.291 μB/f.u.
&SYSTEM
  ibrav = 0, nat = 4, ntyp = 3
/
ATOMIC_SPECIES
Be 9.01 Be.upf
Fe 55.84 Fe.upf
Pt 195.08 Pt.upf
CELL_PARAMETERS angstrom
1.363 0.787 7.892
-1.363 0.787 7.892
0.000 -1.574 7.892
ATOMIC_POSITIONS crystal
Be 0.000 0.000 0.000
Fe 0.500 0.500 0.500
Pt 0.257 0.257 0.257
Pt 0.743 0.743 0.743

! Be4FePt | Alexandria | SCAN | PBEsol geometry; values from VASP
! Energy: -18.11 eV/atom
! DFT formation energy: -284 kJ/mol of formula units
! Symmetry: F-43m (216)
! V: 9.18 Å³/atom
! Total moment: 3.172 μB/f.u.
&SYSTEM
  ibrav = 0, nat = 6, ntyp = 3
/
ATOMIC_SPECIES
Be 9.01 Be.upf
Fe 55.84 Fe.upf
Pt 195.08 Pt.upf
CELL_PARAMETERS angstrom
0.000 3.020 3.020
3.020 0.000 3.020
3.020 3.020 0.000
ATOMIC_POSITIONS crystal
Be 0.377 0.377 0.377
Be 0.377 0.377 0.870
Be 0.377 0.870 0.377
Be 0.870 0.377 0.377
Fe 0.750 0.750 0.750
Pt 0.000 0.000 0.000

! Be3FePt | Alexandria | SCAN | PBEsol geometry; values from VASP
! Energy: -19.93 eV/atom
! DFT formation energy: 166 kJ/mol of formula units
! Symmetry: Pm-3m (221)
! V: 14.36 Å³/atom
! Total moment: 2.972 μB/f.u.
&SYSTEM
  ibrav = 0, nat = 5, ntyp = 3
/
ATOMIC_SPECIES
Be 9.01 Be.upf
Fe 55.84 Fe.upf
Pt 195.08 Pt.upf
CELL_PARAMETERS angstrom
4.157 0.000 0.000
0.000 4.157 0.000
0.000 0.000 4.157
ATOMIC_POSITIONS crystal
Be 0.000 0.000 0.500
Be 0.000 0.500 0.000
Be 0.500 0.000 0.000
Fe 0.500 0.500 0.500
Pt 0.000 0.000 0.000

! BeFePt2 | Alexandria | SCAN | PBEsol geometry; values from VASP
! Energy: -41.44 eV/atom
! DFT formation energy: -278 kJ/mol of formula units
! Symmetry: P4/mmm (123)
! V: 12.30 Å³/atom
! Total moment: 3.615 μB/f.u.
&SYSTEM
  ibrav = 0, nat = 4, ntyp = 3
/
ATOMIC_SPECIES
Be 9.01 Be.upf
Fe 55.84 Fe.upf
Pt 195.08 Pt.upf
CELL_PARAMETERS angstrom
2.729 0.000 0.000
0.000 2.729 0.000
0.000 0.000 6.610
ATOMIC_POSITIONS crystal
Be 0.000 0.000 0.000
Fe 0.000 0.000 0.500
Pt 0.500 0.500 0.222
Pt 0.500 0.500 0.778

! BeFePt2 | Alexandria | SCAN | PBEsol geometry; values from VASP
! Energy: -41.15 eV/atom
! DFT formation energy: -167 kJ/mol of formula units
! Symmetry: P4mm (99)
! V: 12.21 Å³/atom
! Total moment: 2.995 μB/f.u.
&SYSTEM
  ibrav = 0, nat = 4, ntyp = 3
/
ATOMIC_SPECIES
Be 9.01 Be.upf
Fe 55.84 Fe.upf
Pt 195.08 Pt.upf
CELL_PARAMETERS angstrom
2.710 0.000 0.000
0.000 2.710 0.000
0.000 0.000 6.653
ATOMIC_POSITIONS crystal
Be 0.000 0.000 0.000
Fe 0.500 0.500 0.210
Pt 0.000 0.000 0.475
Pt 0.500 0.500 0.796

! BeFePt | Alexandria | SCAN | PBEsol geometry; values from VASP
! Energy: -31.34 eV/atom
! DFT formation energy: -130 kJ/mol of formula units
! Energy above the most stable polymorph in this dataset: 0 meV per atom
! Symmetry: P-6m2 (187)
! V: 11.88 Å³/atom
! Total moment: 3.160 μB/f.u.
&SYSTEM
  ibrav = 0, nat = 3, ntyp = 3
/
ATOMIC_SPECIES
Be 9.01 Be.upf
Fe 55.84 Fe.upf
Pt 195.08 Pt.upf
CELL_PARAMETERS angstrom
3.947 0.000 0.000
-1.973 3.418 0.000
0.000 0.000 2.643
ATOMIC_POSITIONS crystal
Be 0.000 0.000 0.000
Fe 0.333 0.667 0.500
Pt 0.667 0.333 0.000

! BeFePt2 | Alexandria | SCAN | PBEsol geometry; values from VASP
! Energy: -41.32 eV/atom
! DFT formation energy: -232 kJ/mol of formula units
! Symmetry: I4/mmm (139)
! V: 12.69 Å³/atom
! Total moment: 3.985 μB/f.u.
&SYSTEM
  ibrav = 0, nat = 4, ntyp = 3
/
ATOMIC_SPECIES
Be 9.01 Be.upf
Fe 55.84 Fe.upf
Pt 195.08 Pt.upf
CELL_PARAMETERS angstrom
-1.934 1.934 3.392
1.934 -1.934 3.392
1.934 1.934 -3.392
ATOMIC_POSITIONS crystal
Be 0.000 0.000 0.000
Fe 0.500 0.500 0.000
Pt 0.250 0.750 0.500
Pt 0.750 0.250 0.500